(1)
Compound: Na3Eu5I12
Source: Alexandria
Functional: PBE
Structure: relaxed

abc: 17.2003 17.2003 17.2003
angles: 109.47 109.47 109.47
Closest atoms and distances in Å follow each position.
Element x y z (fractional)
Na1 0.1250 0.2500 0.3750  8 I 3.67-3.86
Na2 0.1250 0.3750 0.7500  8 I 3.67-3.86
Na3 0.2500 0.3750 0.1250  8 I 3.67-3.86
Na4 0.2500 0.8750 0.6250  8 I 3.67-3.86
Na5 0.3750 0.1250 0.2500  8 I 3.67-3.86
Na6 0.3750 0.7500 0.1250  8 I 3.67-3.86
Na7 0.6250 0.2500 0.8750  8 I 3.67-3.86
Na8 0.6250 0.8750 0.7500  8 I 3.67-3.86
Na9 0.7500 0.1250 0.3750  8 I 3.67-3.86
Na10 0.7500 0.6250 0.8750  8 I 3.67-3.86
Na11 0.8750 0.6250 0.2500  8 I 3.67-3.86
Na12 0.8750 0.7500 0.6250  8 I 3.67-3.86
Eu1 0.0000 0.0000 0.0000  6 I 3.29
Eu2 0.0000 0.0000 0.5000  6 I 3.29
Eu3 0.0000 0.5000 0.0000  6 I 3.29
Eu4 0.0000 0.5000 0.5000  6 I 3.29
Eu5 0.1250 0.7500 0.8750  4 I 3.13
Eu6 0.1250 0.8750 0.2500  4 I 3.13
Eu7 0.2500 0.1250 0.8750  4 I 3.13
Eu8 0.2500 0.6250 0.3750  4 I 3.13
Eu9 0.3750 0.2500 0.6250  4 I 3.13
Eu10 0.3750 0.6250 0.7500  4 I 3.13
Eu11 0.5000 0.0000 0.0000  6 I 3.29
Eu12 0.5000 0.0000 0.5000  6 I 3.29
Eu13 0.5000 0.5000 0.0000  6 I 3.29
Eu14 0.5000 0.5000 0.5000  6 I 3.29
Eu15 0.6250 0.3750 0.2500  4 I 3.13
Eu16 0.6250 0.7500 0.3750  4 I 3.13
Eu17 0.7500 0.3750 0.6250  4 I 3.13
Eu18 0.7500 0.8750 0.1250  4 I 3.13
Eu19 0.8750 0.1250 0.7500  4 I 3.13
Eu20 0.8750 0.2500 0.1250  4 I 3.13
I1 0.0425 0.2169 0.1225  2 Eu 3.13-3.29
I2 0.0425 0.3256 0.9199  2 Eu 3.13-3.29
I3 0.0801 0.6225 0.4057  2 Eu 3.13-3.29
I4 0.0801 0.9575 0.6744  2 Eu 3.13-3.29
I5 0.0943 0.7169 0.6744  2 Eu 3.13-3.29
I6 0.0943 0.8775 0.4199  2 Eu 3.13-3.29
I7 0.1225 0.0425 0.2169  2 Eu 3.13-3.29
I8 0.1225 0.5801 0.9057  2 Eu 3.13-3.29
I9 0.1744 0.2169 0.5943  2 Eu 3.13-3.29
I10 0.1744 0.4575 0.5801  2 Eu 3.13-3.29
I11 0.2169 0.1225 0.0425  2 Eu 3.13-3.29
I12 0.2169 0.5943 0.1744  2 Eu 3.13-3.29
I13 0.2831 0.3256 0.9057  2 Eu 3.13-3.29
I14 0.2831 0.4575 0.3775  2 Eu 3.13-3.29
I15 0.3256 0.9057 0.2831  2 Eu 3.13-3.29
I16 0.3256 0.9199 0.0425  2 Eu 3.13-3.29
I17 0.3775 0.2831 0.4575  2 Eu 3.13-3.29
I18 0.3775 0.5943 0.9199  2 Eu 3.13-3.29
I19 0.4057 0.0801 0.6225  2 Eu 3.13-3.29
I20 0.4057 0.8256 0.7831  2 Eu 3.13-3.29
I21 0.4199 0.0943 0.8775  2 Eu 3.13-3.29
I22 0.4199 0.8256 0.5425  2 Eu 3.13-3.29
I23 0.4575 0.3775 0.2831  2 Eu 3.13-3.29
I24 0.4575 0.5801 0.1744  2 Eu 3.13-3.29
I25 0.5425 0.4199 0.8256  2 Eu 3.13-3.29
I26 0.5425 0.6225 0.7169  2 Eu 3.13-3.29
I27 0.5801 0.1744 0.4575  2 Eu 3.13-3.29
I28 0.5801 0.9057 0.1225  2 Eu 3.13-3.29
I29 0.5943 0.1744 0.2169  2 Eu 3.13-3.29
I30 0.5943 0.9199 0.3775  2 Eu 3.13-3.29
I31 0.6225 0.4057 0.0801  2 Eu 3.13-3.29
I32 0.6225 0.7169 0.5425  2 Eu 3.13-3.29
I33 0.6744 0.0801 0.9575  2 Eu 3.13-3.29
I34 0.6744 0.0943 0.7169  2 Eu 3.13-3.29
I35 0.7169 0.5425 0.6225  2 Eu 3.13-3.29
I36 0.7169 0.6744 0.0943  2 Eu 3.13-3.29
I37 0.7831 0.4057 0.8256  2 Eu 3.13-3.29
I38 0.7831 0.8775 0.9575  2 Eu 3.13-3.29
I39 0.8256 0.5425 0.4199  2 Eu 3.13-3.29
I40 0.8256 0.7831 0.4057  2 Eu 3.13-3.29
I41 0.8775 0.4199 0.0943  2 Eu 3.13-3.29
I42 0.8775 0.9575 0.7831  2 Eu 3.13-3.29
I43 0.9057 0.1225 0.5801  2 Eu 3.13-3.29
I44 0.9057 0.2831 0.3256  2 Eu 3.13-3.29
I45 0.9199 0.0425 0.3256  2 Eu 3.13-3.29
I46 0.9199 0.3775 0.5943  2 Eu 3.13-3.29
I47 0.9575 0.6744 0.0801  2 Eu 3.13-3.29
I48 0.9575 0.7831 0.8775  2 Eu 3.13-3.29

Computed properties:
**SG**: No. 230
**E_form (uncorrected)**: -1.3160 eV/atom
**DOS at the Fermi energy**: 16.27 states/eV per cell
**Theoretical density**: 4.0 Mg/m³
**Calculated volume**: 3917.3 Å³ per cell

=====

(2)
Compound: Y6Al2CO
Source: Alexandria
Functional: PBE
Structure: relaxed

abc: 6.8094 6.8094 6.8094
angles: 60.00 60.00 60.00
Closest atoms and distances in Å follow each position.
Element x y z (fractional)
Y1 0.2487 0.2487 0.7513  1 C 2.39, 1 O 2.42
Y2 0.2487 0.7513 0.2487  1 C 2.39, 1 O 2.42
Y3 0.2487 0.7513 0.7513  1 C 2.39, 1 O 2.42
Y4 0.7513 0.2487 0.2487  1 C 2.39, 1 O 2.42
Y5 0.7513 0.2487 0.7513  1 C 2.39, 1 O 2.42
Y6 0.7513 0.7513 0.2487  1 C 2.39, 1 O 2.42
Al1 0.2500 0.2500 0.2500  12 Y 3.40
Al2 0.7500 0.7500 0.7500  12 Y 3.40
C1 0.0000 0.0000 0.0000  6 Y 2.39
O1 0.5000 0.5000 0.5000  6 Y 2.42

Computed properties:
**SG**: No. 225
**E_form (uncorrected)**: -0.9402 eV/atom
**DOS at the Fermi energy**: 3.62 states/eV per cell
**Theoretical density**: 4.6 Mg/m³
**Calculated volume**: 223.3 Å³ per cell

=====

(3)
Compound: Zn2Ag8Hg
Source: Alexandria
Functional: PBE
Structure: relaxed

abc: 7.5862 7.5862 6.6481
angles: 108.16 108.16 32.50
Closest atoms and distances in Å follow each position.
Element x y z (fractional)
Zn1 0.2226 0.2226 0.1457  10 Ag 2.75-2.98
Zn2 0.7774 0.7774 0.8543  10 Ag 2.75-2.98
Ag1 0.0470 0.0470 0.2259  1 Zn 2.78, 9 Ag 2.87-3.07, 2 Hg 3.02
Ag2 0.1474 0.1474 0.7092  3 Zn 2.75-2.80, 7 Ag 2.87-3.07, 2 Hg 3.02
Ag3 0.3168 0.3168 0.5787  3 Zn 2.76-2.98, 8 Ag 2.84-3.01, 1 Hg 2.88
Ag4 0.4011 0.4011 0.0346  3 Zn 2.79-2.93, 8 Ag 2.88-3.06, 1 Hg 2.96
Ag5 0.5989 0.5989 0.9654  3 Zn 2.79-2.93, 8 Ag 2.88-3.06, 1 Hg 2.96
Ag6 0.6832 0.6832 0.4213  3 Zn 2.76-2.98, 8 Ag 2.84-3.01, 1 Hg 2.88
Ag7 0.8526 0.8526 0.2908  3 Zn 2.75-2.80, 7 Ag 2.87-3.07, 2 Hg 3.02
Ag8 0.9530 0.9530 0.7741  1 Zn 2.78, 9 Ag 2.87-3.07, 2 Hg 3.02
Hg1 0.5000 0.5000 0.5000  12 Ag 2.88-3.02

Computed properties:
**SG**: No. 12
**Excess energy over the best structure of this formula in the dataset**: 0 meV/atom
**DOS at the Fermi energy**: 2.58 states/eV per cell
**Theoretical density**: 10.2 Mg/m³
**Calculated volume**: 194.4 Å³ per cell

=====

(4)
Compound: Tb12NdEr7
Source: Alexandria
Functional: PBE
Structure: relaxed

abc: 9.7897 9.7897 9.7897
angles: 109.47 109.47 109.47
Closest atoms and distances in Å follow each position.
Element x y z (fractional)
Tb1 0.0000 0.2559 0.7441  2 Er 2.83
Tb2 0.0000 0.7441 0.2559  2 Er 2.83
Tb3 0.2559 0.0000 0.7441  2 Er 2.83
Tb4 0.2559 0.2559 0.5118  2 Er 2.83
Tb5 0.2559 0.5118 0.2559  2 Er 2.83
Tb6 0.2559 0.7441 0.0000  2 Er 2.83
Tb7 0.4882 0.7441 0.7441  2 Er 2.83
Tb8 0.5118 0.2559 0.2559  2 Er 2.83
Tb9 0.7441 0.0000 0.2559  2 Er 2.83
Tb10 0.7441 0.2559 0.0000  2 Er 2.83
Tb11 0.7441 0.4882 0.7441  2 Er 2.83
Tb12 0.7441 0.7441 0.4882  2 Er 2.83
Nd1 0.0000 0.0000 0.0000  12 Tb 4.09
Er1 0.0000 0.0000 0.5000  6 Tb 2.83
Er2 0.0000 0.5000 0.0000  6 Tb 2.83
Er3 0.0000 0.5000 0.5000  12 Tb 3.90-4.00
Er4 0.5000 0.0000 0.0000  6 Tb 2.83
Er5 0.5000 0.0000 0.5000  12 Tb 3.90-4.00
Er6 0.5000 0.5000 0.0000  12 Tb 3.90-4.00
Er7 0.5000 0.5000 0.5000  6 Tb 2.83

Computed properties:
**SG**: No. 229
**Excess energy over the best structure of this formula in the dataset**: 405 meV/atom
**DOS at the Fermi energy**: 24.40 states/eV per cell
**Theoretical density**: 7.4 Mg/m³
**Calculated volume**: 722.3 Å³ per cell

=====

(5)
Compound: CuSb
Source: Alexandria
Functional: PBE
Structure: relaxed

abc: 6.9108 6.9108 6.9108
angles: 94.61 94.61 147.04
Closest atoms and distances in Å follow each position.
Element x y z (fractional)
Cu1 0.0850 0.6034 0.6884  5 Cu 2.51-2.64, 2 Sb 2.65
Cu2 0.3966 0.0850 0.4816  5 Cu 2.51-2.64, 2 Sb 2.65
Cu3 0.6034 0.9150 0.5184  5 Cu 2.51-2.64, 2 Sb 2.65
Cu4 0.9150 0.3966 0.3116  5 Cu 2.51-2.64, 2 Sb 2.65
Sb1 0.2905 0.3829 0.6733  4 Cu 2.65-2.96
Sb2 0.3829 0.7095 0.0924  4 Cu 2.65-2.96
Sb3 0.6171 0.2905 0.9076  4 Cu 2.65-2.96
Sb4 0.7095 0.6171 0.3267  4 Cu 2.65-2.96

Computed properties:
**SG**: No. 87
**E_form (uncorrected)**: 0.1173 eV/atom
**DOS at the Fermi energy**: 1.93 states/eV per cell
**Theoretical density**: 7.1 Mg/m³
**Calculated volume**: 172.2 Å³ per cell

=====

(6)
Compound: ZrTcAgO6
Source: Alexandria
Functional: PBE
Structure: relaxed

abc: 5.3568 5.3568 4.8850
angles: 90.00 90.00 120.00
Closest atoms and distances in Å follow each position.
Element x y z (fractional)
Zr1 0.0000 0.0000 0.0000  6 O 2.11
Tc1 0.6667 0.3333 0.0000  6 O 1.92
Ag1 0.3333 0.6667 0.5000  6 O 2.41
O1 0.3603 0.0504 0.7781  1 Tc 1.92, 1 Zr 2.11
O2 0.3603 0.3099 0.2219  1 Tc 1.92, 1 Zr 2.11
O3 0.6901 0.0504 0.2219  1 Tc 1.92, 1 Zr 2.11
O4 0.6901 0.6397 0.7781  1 Tc 1.92, 1 Zr 2.11
O5 0.9496 0.3099 0.7781  1 Tc 1.92, 1 Zr 2.11
O6 0.9496 0.6397 0.2219  1 Tc 1.92, 1 Zr 2.11

Computed properties:
**SG**: No. 149
**E_form (uncorrected)**: -1.6215 eV/atom
**DOS at the Fermi energy**: 0.20 states/eV per cell
**Theoretical density**: 5.4 Mg/m³
**Calculated volume**: 121.4 Å³ per cell

=====

(7)
Compound: GeAs2SBr
Source: Alexandria
Functional: PBE
Structure: relaxed

abc: 5.0852 5.0852 4.9352
angles: 90.00 90.00 90.00
Closest atoms and distances in Å follow each position.
Element x y z (fractional)
Ge1 0.0000 0.0000 0.0000  2 Br 2.47, 4 As 2.54
As1 0.0000 0.5000 0.0000  2 Ge 2.54
As2 0.5000 0.0000 0.0000  2 Ge 2.54
S1 0.5000 0.5000 0.5000  8 As 3.54, 4 Br 3.60
Br1 0.0000 0.0000 0.5000  2 Ge 2.47

Computed properties:
**SG**: No. 123
**Excess energy over the best structure of this formula in the dataset**: 115 meV/atom
**E_form (uncorrected)**: 0.8631 eV/atom
**DOS at the Fermi energy**: 3.97 states/eV per cell
**Theoretical density**: 4.4 Mg/m³
**Calculated volume**: 127.6 Å³ per cell

=====

(8)
Compound: Sr5CaIn6
Source: Alexandria
Functional: PBE
Structure: relaxed

abc: 9.8885 9.8885 5.7509
angles: 106.86 106.86 120.34
Closest atoms and distances in Å follow each position.
Element x y z (fractional)
Sr1 0.0000 0.0000 0.0000  8 In 3.51-3.64
Sr2 0.1614 0.8386 0.5000  8 In 3.55-3.59
Sr3 0.3251 0.6749 0.0000  8 In 3.43-3.52
Sr4 0.6749 0.3251 0.0000  8 In 3.43-3.52
Sr5 0.8386 0.1614 0.5000  8 In 3.55-3.59
Ca1 0.5000 0.5000 0.5000  8 In 3.35-3.38
In1 0.1054 0.4302 0.2682  1 Ca 3.35, 7 Sr 3.43-3.59, 1 In 3.71
In2 0.2792 0.2792 0.7795  2 Ca 3.37-3.38, 6 Sr 3.48-3.64, 1 In 3.53
In3 0.4302 0.1054 0.2682  1 Ca 3.35, 7 Sr 3.43-3.59, 1 In 3.71
In4 0.5698 0.8946 0.7318  1 Ca 3.35, 7 Sr 3.43-3.59, 1 In 3.71
In5 0.7208 0.7208 0.2205  2 Ca 3.37-3.38, 6 Sr 3.48-3.64, 1 In 3.53
In6 0.8946 0.5698 0.7318  1 Ca 3.35, 7 Sr 3.43-3.59, 1 In 3.71

Computed properties:
**SG**: No. 12
**E**: -32.075 eV/f.u.
**DOS at the Fermi energy**: 6.22 states/eV per cell
**Theoretical density**: 4.9 Mg/m³
**Calculated volume**: 394.3 Å³ per cell